No. 1
The following is a DFT calculation (PBE) of a relaxed structure of HgHClO.

Values from the calculation:
- Total moment: 0.0 Bohr magnetons per cell
- Crystal system: monoclinic
- E_tot: -26.15 eV per cell

Structure (CIF):
```
data_HgHClO
_chemical_formula_sum 'Hg2 H2 Cl2 O2'
_cell_length_a 6.768
_cell_length_b 3.791
_cell_length_c 5.865
_cell_angle_alpha 90.00
_cell_angle_beta 114.15
_cell_angle_gamma 90.00
_space_group_name_H-M_alt 'C 1 m 1'
_space_group_IT_number 8
loop_
_space_group_symop_operation_xyz
'x,y,z'
'x,-y,z'
'x+1/2,y+1/2,z'
'x+1/2,-y+1/2,z'
loop_
_atom_site_label
_atom_site_fract_x
_atom_site_fract_y
_atom_site_fract_z
Hg1 0.000 0.000 0.000
H1 0.219 0.000 0.660
Cl1 0.263 0.500 0.318
O1 0.281 0.000 0.844
```

=====

No. 2
The following is a DFT calculation (PBE) of a relaxed structure of HgH2Cl2O.

Values from the calculation:
- Total moment: 0.0 Bohr magnetons per cell
- Crystal system: orthorhombic
- E_tot: -81.05 eV per cell

Structure (CIF):
```
data_HgH2Cl2O
_chemical_formula_sum 'Hg4 H8 Cl8 O4'
_cell_length_a 8.826
_cell_length_b 8.184
_cell_length_c 7.514
_cell_angle_alpha 90.00
_cell_angle_beta 90.00
_cell_angle_gamma 90.00
_space_group_name_H-M_alt 'C m c 21'
_space_group_IT_number 36
loop_
_space_group_symop_operation_xyz
'x,y,z'
'-x,-y,z+1/2'
'-x,y,z'
'x,-y,z+1/2'
'x+1/2,y+1/2,z'
'-x+1/2,-y+1/2,z+1/2'
'-x+1/2,y+1/2,z'
'x+1/2,-y+1/2,z+1/2'
loop_
_atom_site_label
_atom_site_fract_x
_atom_site_fract_y
_atom_site_fract_z
Hg1 0.000 0.059 0.000
H1 0.089 0.388 0.881
Cl1 0.201 0.003 0.249
O1 0.000 0.353 0.951
```

=====

No. 3
The following is a DFT calculation (PBE) of a relaxed structure of HgH2ClO2.

Values from the calculation:
- Total moment: 1.2 Bohr magnetons per cell
- Crystal system: monoclinic
- E_tot: -41.26 eV per cell

Structure (CIF):
```
data_HgH2ClO2
_chemical_formula_sum 'Hg2 H4 Cl2 O4'
_cell_length_a 6.549
_cell_length_b 4.427
_cell_length_c 6.857
_cell_angle_alpha 90.00
_cell_angle_beta 115.50
_cell_angle_gamma 90.00
_space_group_name_H-M_alt 'P 1 21/m 1'
_space_group_IT_number 11
loop_
_space_group_symop_operation_xyz
'x,y,z'
'-x,-y,-z'
'-x,y+1/2,-z'
'x,-y+1/2,z'
loop_
_atom_site_label
_atom_site_fract_x
_atom_site_fract_y
_atom_site_fract_z
Hg1 0.084 0.250 0.251
H1 0.283 0.250 0.980
H2 0.313 0.750 0.056
Cl1 0.222 0.750 0.482
O1 0.242 0.000 0.013
```

=====

No. 4
The following is a DFT calculation (PBE) of a relaxed structure of Hg2HClO.

Values from the calculation:
- Total moment: 0.0 Bohr magnetons per cell
- Crystal system: tetragonal
- E_tot: -10.95 eV per cell

Structure (CIF):
```
data_Hg2HClO
_chemical_formula_sum 'Hg2 H1 Cl1 O1'
_cell_length_a 6.194
_cell_length_b 6.194
_cell_length_c 2.597
_cell_angle_alpha 90.00
_cell_angle_beta 90.00
_cell_angle_gamma 90.00
_space_group_name_H-M_alt 'P 4/m m m'
_space_group_IT_number 123
_space_group_name_Hall '-P 4 2'
loop_
_atom_site_label
_atom_site_fract_x
_atom_site_fract_y
_atom_site_fract_z
Hg1 0.000 0.500 0.000
H1 0.000 0.000 0.000
Cl1 0.500 0.500 0.500
O1 0.000 0.000 0.500
```

=====

> Which value of total moment does entry 1 give?

0.0 Bohr magnetons per cell

=====

> What is the total moment in the third record?

1.2 Bohr magnetons per cell